Compound: Mn2SnPdO
Source: the Alexandria database
Functional: PBE+U
Structure: optimized geometry

Cell lengths 5.328, 4.969, 5.328 Å; angles 90.00, 90.00, 90.00 degrees
Element x y z (fractional)
O 0.500 0.500 0.500
Mn 0.500 0.000 0.000
Mn 0.000 0.000 0.500
Sn 0.000 0.000 0.000
Pd 0.000 0.500 0.000

Summary:
**VASP energy**: -4.81 eV per atom
**Symmetry**: P4/mmm